No. 1
This record from Alexandria describes crystalline LaNdTmSc at its relaxed geometry. The functional is PBE-GGA.

Symmetry   F-43m
Magnetic moment   0.0000 μB/atom
ΔE_f   7.8 kJ/mol of atoms
Polymorph energy (0 for the lowest one)   0 meV per atom
VASP energy   -5.044 eV per atom

Unit cell a=5.6404 b=5.6404 c=5.6404 alpha=60.00 beta=60.00 gamma=60.00
Closest atoms and distances in Å follow each position.
Element x y z (fractional)
Sc: 0.5000 0.5000 0.5000  4 La 3.45, 4 Nd 3.45
Tm: 0.0000 0.0000 0.0000  4 Nd 3.45, 4 La 3.45
Nd: 0.7500 0.7500 0.7500  4 Sc 3.45, 4 Tm 3.45
La: 0.2500 0.2500 0.2500  4 Tm 3.45, 4 Sc 3.45



No. 2
This record from Alexandria describes crystalline Ca4Zr3TaO12 at its relaxed geometry. The functional is PBE-GGA.

Symmetry   P-1
Magnetic moment   0.0000 μB/atom
Raw formation energy   -3.1404 eV per atom
VASP energy   -8.391 eV per atom

Unit cell a=5.6190 b=5.8020 c=8.0618 alpha=90.41 beta=90.00 gamma=90.10
Closest atoms and distances in Å follow each position.
Element x y z (fractional)
Ca: 0.9883 0.9485 0.7486  4 O 2.34-2.48
Ca: 0.4877 0.5517 0.2526  4 O 2.35-2.46
Ca: 0.5123 0.4483 0.7474  4 O 2.35-2.46
Ca: 0.0117 0.0515 0.2514  4 O 2.34-2.48
Zr: 0.5000 0.0000 0.0000  6 O 2.12
Zr: 0.5000 0.0000 0.5000  6 O 2.11-2.15
Zr: 0.0000 0.5000 0.0000  6 O 2.11-2.16
Ta: 0.0000 0.5000 0.5000  6 O 2.03-2.04
O: 0.6059 0.9603 0.2505  2 Zr 2.11-2.12, 1 Ca 2.34
O: 0.1961 0.7852 0.4468  1 Ta 2.03, 1 Zr 2.15
O: 0.1913 0.8047 0.0550  2 Zr 2.11-2.12, 1 Ca 2.36
O: 0.6920 0.6944 0.9429  2 Zr 2.12, 1 Ca 2.35
O: 0.7109 0.7002 0.5520  1 Ta 2.04, 1 Zr 2.15
O: 0.0992 0.5348 0.7422  1 Ta 2.04, 1 Zr 2.16
O: 0.9008 0.4652 0.2578  1 Ta 2.04, 1 Zr 2.16
O: 0.2891 0.2998 0.4480  1 Ta 2.04, 1 Zr 2.15
O: 0.3080 0.3056 0.0571  2 Zr 2.12, 1 Ca 2.35
O: 0.8087 0.1953 0.9450  2 Zr 2.11-2.12, 1 Ca 2.36
O: 0.8039 0.2148 0.5532  1 Ta 2.03, 1 Zr 2.15
O: 0.3941 0.0397 0.7495  2 Zr 2.11-2.12, 1 Ca 2.34



No. 3
This record from Alexandria describes crystalline Ti3Os at its relaxed geometry. The functional is PBE-GGA.

Symmetry   Immm
Magnetic moment   0.0001 μB/atom
ΔE_f   -38.9 kJ/mol of atoms
VASP energy   -9.132 eV per atom

Unit cell a=3.1054 b=4.4895 c=5.2986 alpha=115.07 beta=107.04 gamma=90.00
Closest atoms and distances in Å follow each position.
Element x y z (fractional)
Os: 0.0000 0.9167 0.0000  8 Ti 2.61-2.73
Ti: 0.2686 0.6853 0.5372  2 Os 2.61, 6 Ti 2.75-2.89
Ti: 0.5000 0.4167 0.0000  4 Os 2.73, 4 Ti 2.89
Ti: 0.7314 0.1481 0.4628  2 Os 2.61, 6 Ti 2.75-2.89



No. 4
This record from Alexandria describes crystalline CaSb2Ru at its relaxed geometry. The functional is PBE-GGA.

Symmetry   I-42d
Magnetic moment   0.0000 μB/atom
Raw formation energy   -0.2215 eV per atom
VASP energy   -5.102 eV per atom

Unit cell a=8.0168 b=8.0168 c=6.4818 alpha=51.80 beta=51.80 gamma=90.00
Closest atoms and distances in Å follow each position.
Element x y z (fractional)
Sb: 0.6907 0.1250 0.2500  2 Ru 2.61
Sb: 0.0593 0.6250 0.2500  2 Ru 2.61
Sb: 0.3750 0.3093 0.7500  2 Ru 2.61
Sb: 0.8750 0.9407 0.7500  2 Ru 2.61
Ca: 0.5000 0.5000 0.0000  2 Ru 3.14, 8 Sb 3.32-3.43
Ca: 0.2500 0.7500 0.5000  2 Ru 3.14, 8 Sb 3.32-3.43
Ru: 0.0000 0.0000 0.0000  4 Sb 2.61
Ru: 0.7500 0.2500 0.5000  4 Sb 2.61



No. 5
This record from Alexandria describes crystalline PuScNb at its relaxed geometry. The functional is PBE-GGA.

Symmetry   Pmmn
Magnetic moment   1.7955 μB/atom
ΔE_f   41.7 kJ/mol of atoms
Polymorph energy (0 for the lowest one)   306 meV per atom
VASP energy   -9.812 eV per atom

Unit cell a=2.9314 b=2.9904 c=15.3756 alpha=90.00 beta=90.00 gamma=90.00
Closest atoms and distances in Å follow each position.
Element x y z (fractional)
Pu: 0.5000 0.0000 0.7374  4 Pu 2.93-2.99, 2 Nb 2.93, 2 Sc 3.17
Pu: 0.0000 0.5000 0.2626  4 Pu 2.93-2.99, 2 Nb 2.93, 2 Sc 3.17
Nb: 0.0000 0.0000 0.4268  8 Nb 2.93-3.07, 2 Pu 2.93
Nb: 0.5000 0.5000 0.5732  8 Nb 2.93-3.07, 2 Pu 2.93
Sc: 0.5000 0.5000 0.9188  8 Sc 2.93-3.26, 2 Pu 3.17
Sc: 0.0000 0.0000 0.0812  8 Sc 2.93-3.26, 2 Pu 3.17



No. 6
This record from Alexandria describes crystalline CuSe2SBr at its relaxed geometry. The functional is PBE-GGA.

Symmetry   P4/mmm
Magnetic moment   0.0000 μB/atom
Raw formation energy   0.7422 eV per atom
Polymorph energy (0 for the lowest one)   37 meV per atom
VASP energy   -2.631 eV per atom

Unit cell a=4.9323 b=4.9323 c=4.9175 alpha=90.00 beta=90.00 gamma=90.00
Closest atoms and distances in Å follow each position.
Element x y z (fractional)
S: 0.0000 0.0000 0.0000  2 Br 2.46, 4 Se 2.47
Cu: 0.5000 0.5000 0.5000  8 Se 3.48, 4 Br 3.49
Se: 0.0000 0.5000 0.0000  2 S 2.47
Se: 0.5000 0.0000 0.0000  2 S 2.47
Br: 0.0000 0.0000 0.5000  2 S 2.46



No. 7
This record from Alexandria describes crystalline Pr2InAg5 at its relaxed geometry. The functional is PBE-GGA.

Symmetry   I4mm
Magnetic moment   0.0000 μB/atom
ΔE_f   -10.6 kJ/mol of atoms
VASP energy   -3.429 eV per atom

Unit cell a=6.3162 b=6.3162 c=6.3162 alpha=100.61 beta=114.07 gamma=114.07
Closest atoms and distances in Å follow each position.
Element x y z (fractional)
Pr: 0.5000 0.2690 0.7690  10 Ag 3.18-3.45, 2 In 3.53
Pr: 0.5000 0.7690 0.2690  10 Ag 3.18-3.45, 2 In 3.53
In: 0.0000 0.8701 0.8701  5 Ag 2.97-3.06
Ag: 0.4200 0.7289 0.7289  3 Ag 2.89-3.05, 1 In 3.06, 4 Pr 3.18
Ag: 0.0000 0.7289 0.3089  3 Ag 2.89-3.05, 1 In 3.06, 4 Pr 3.18
Ag: 0.0000 0.3089 0.7289  3 Ag 2.89-3.05, 1 In 3.06, 4 Pr 3.18
Ag: 0.5800 0.3089 0.3089  3 Ag 2.89-3.05, 1 In 3.06, 4 Pr 3.18
Ag: 0.0000 0.2384 0.2384  1 In 2.97, 4 Ag 3.05



No. 8
This record from Alexandria describes crystalline KRe3Pb at its relaxed geometry. The functional is PBE-GGA.

Symmetry   Pm-3m
Magnetic moment   1.0375 μB/atom
ΔE_f   296.7 kJ/mol of atoms
Polymorph energy (0 for the lowest one)   0 meV per atom
VASP energy   -5.354 eV per atom

Unit cell a=5.1596 b=5.1596 c=5.1596 alpha=90.00 beta=90.00 gamma=90.00
Closest atoms and distances in Å follow each position.
Element x y z (fractional)
Pb: 0.0000 0.0000 0.0000  6 Re 2.58
Re: 0.0000 0.5000 0.0000  2 Pb 2.58
Re: 0.0000 0.0000 0.5000  2 Pb 2.58
Re: 0.5000 0.0000 0.0000  2 Pb 2.58
K: 0.5000 0.5000 0.5000  12 Re 3.65



No. 9
This record from Alexandria describes crystalline NaInP3 at its relaxed geometry. The functional is PBE-GGA.

Symmetry   Pm-3m
Magnetic moment   0.0000 μB/atom
ΔE_f   79.9 kJ/mol of atoms
Polymorph energy (0 for the lowest one)   0 meV per atom
VASP energy   -3.229 eV per atom

Unit cell a=5.1279 b=5.1279 c=5.1279 alpha=90.00 beta=90.00 gamma=90.00
Closest atoms and distances in Å follow each position.
Element x y z (fractional)
P: 0.0000 0.5000 0.0000  2 In 2.56
P: 0.0000 0.0000 0.5000  2 In 2.56
P: 0.5000 0.0000 0.0000  2 In 2.56
Na: 0.5000 0.5000 0.5000  12 P 3.63
In: 0.0000 0.0000 0.0000  6 P 2.56



No. 10
This record from Alexandria describes crystalline TlSn2Pd7 at its relaxed geometry. The functional is PBE-GGA.

Symmetry   Cmmm
Magnetic moment   0.0000 μB/atom
ΔE_f   -2.4 kJ/mol of atoms
Polymorph energy (0 for the lowest one)   319 meV per atom
VASP energy   -4.697 eV per atom

Unit cell a=4.4062 b=7.6644 c=7.6644 alpha=122.53 beta=90.00 gamma=90.00
Closest atoms and distances in Å follow each position.
Element x y z (fractional)
Tl: 0.0000 0.0000 0.0000  10 Pd 2.69-2.96
Sn: 0.5000 0.6983 0.3017  5 Pd 2.59-2.66
Sn: 0.5000 0.3017 0.6983  5 Pd 2.59-2.66
Pd: 0.0000 0.7996 0.2004  2 Sn 2.59, 1 Tl 2.69, 4 Pd 2.87
Pd: 0.0000 0.2004 0.7996  2 Sn 2.59, 1 Tl 2.69, 4 Pd 2.87
Pd: 0.5000 0.0757 0.2915  2 Sn 2.63-2.94, 5 Pd 2.71-2.90
Pd: 0.5000 0.9243 0.7085  2 Sn 2.63-2.94, 5 Pd 2.71-2.90
Pd: 0.5000 0.2915 0.0757  2 Sn 2.63-2.94, 5 Pd 2.71-2.90
Pd: 0.5000 0.7085 0.9243  2 Sn 2.63-2.94, 5 Pd 2.71-2.90
Pd: 0.5000 0.5000 0.5000  2 Sn 2.66, 4 Pd 2.75



No. 11
This record from Alexandria describes crystalline Nd2SiGeRh6 at its relaxed geometry. The functional is PBE-GGA.

Symmetry   Fm-3m
Magnetic moment   0.0000 μB/atom
Raw formation energy   -0.5281 eV per atom
VASP energy   -6.897 eV per atom

Unit cell a=6.4401 b=6.4414 c=6.4390 alpha=59.99 beta=60.00 gamma=90.01
Closest atoms and distances in Å follow each position.
Element x y z (fractional)
Nd: 0.7501 0.2501 0.4998  12 Rh 3.22
Nd: 0.2499 0.7499 0.5001  12 Rh 3.22
Si: 0.5000 0.5000 0.0000  6 Rh 2.23
Ge: 0.0000 0.0000 0.0000  6 Rh 2.32
Rh: 0.2549 0.2549 0.4903  1 Si 2.23, 1 Ge 2.32
Rh: 0.7453 0.7450 0.0000  1 Si 2.23, 1 Ge 2.32
Rh: 0.2548 0.7452 0.0000  1 Si 2.23, 1 Ge 2.32
Rh: 0.7452 0.2548 0.0000  1 Si 2.23, 1 Ge 2.32
Rh: 0.2547 0.2550 0.0000  1 Si 2.23, 1 Ge 2.32
Rh: 0.7451 0.7451 0.5097  1 Si 2.23, 1 Ge 2.32



No. 12
This record from Alexandria describes crystalline PuZrSc2Bi4 at its relaxed geometry. The functional is PBE-GGA.

Symmetry   P2/m
Magnetic moment   0.6886 μB/atom
ΔE_f   -45.2 kJ/mol of atoms
VASP energy   -6.852 eV per atom

Unit cell a=4.3164 b=7.5106 c=7.4720 alpha=109.13 beta=90.00 gamma=90.00
Closest atoms and distances in Å follow each position.
Element x y z (fractional)
Pu: 0.5000 0.5000 0.0000  6 Bi 3.13-3.14
Zr: 0.0000 0.0000 0.0000  6 Bi 3.05-3.06
Sc: 0.5000 0.0000 0.5000  6 Bi 2.98
Sc: 0.0000 0.5000 0.5000  6 Bi 3.05-3.06
Bi: 0.5000 0.2442 0.2565  3 Sc 2.98-3.06, 2 Zr 3.06, 1 Pu 3.13
Bi: 0.5000 0.7558 0.7435  3 Sc 2.98-3.06, 2 Zr 3.06, 1 Pu 3.13
Bi: 0.0000 0.2372 0.7373  3 Sc 2.98-3.05, 1 Zr 3.05, 2 Pu 3.14
Bi: 0.0000 0.7628 0.2627  3 Sc 2.98-3.05, 1 Zr 3.05, 2 Pu 3.14